PBE-GGA Rb3DyEr2S6, relaxed; total moment = 0.00 μB/atom; raw formation energy = -22.257 eV per formula unit
1.0
7.0263 -0.0009 0.0003
-3.5122 6.0855 0.0003
-1.1717 -2.0287 7.6827
Rb Dy Er S
3 1 2 6
Direct
0.1665 0.8335 0.5000 Rb
0.8335 0.1665 0.5000 Rb
0.5000 0.5000 0.5000 Rb
0.0000 0.0000 0.0000 Dy
0.3333 0.6667 0.0000 Er
0.6667 0.3333 0.0000 Er
0.9364 0.6010 0.8092 S
0.7282 0.7282 0.1908 S
0.0636 0.3990 0.1908 S
0.6010 0.9364 0.8092 S
0.2718 0.2718 0.8092 S
0.3990 0.0636 0.1908 S

***

PBE-GGA NdZn2Au, relaxed; total moment = 0.00 μB/atom; uncorrected energy = -3.127 eV/atom
1.0
-3.7308 0.2793 -2.3057
4.5395 -0.7296 -3.2454
-0.8108 -7.0710 0.4554
Nd Zn Au
2 4 2
Direct
0.7458 0.4916 0.5000 Nd
0.5879 0.1759 0.0000 Nd
0.0344 0.0688 0.6864 Zn
0.0344 0.0688 0.3136 Zn
0.8860 0.7720 0.0000 Zn
0.4567 0.9134 0.5000 Zn
0.2917 0.5835 0.7999 Au
0.2917 0.5835 0.2001 Au

***

PBE-GGA YNpSe4, relaxed; total moment = 0.34 μB/atom; raw formation energy = -7.099 eV per formula unit
1.0
4.2398 0.0000 0.0000
0.0000 6.5983 0.0172
0.0000 -0.1121 6.5973
Y Np Se
1 1 4
Direct
0.5000 0.0000 0.0000 Y
0.0000 0.5000 0.5000 Np
0.0000 0.2049 0.2049 Se
0.0000 0.7951 0.7951 Se
0.5000 0.6912 0.3088 Se
0.5000 0.3088 0.6912 Se

***

PBE-GGA Nd4Gd2N, relaxed; total moment = 2.21 μB/atom; raw formation energy = -1.349 eV per formula unit
1.0
-4.7994 1.4154 0.1085
-1.3913 -4.6144 -1.3495
-3.5932 -3.9407 7.8980
Gd Nd N
2 4 1
Direct
0.6649 0.6649 0.6701 Gd
0.3351 0.3351 0.3299 Gd
0.8633 0.8633 0.2733 Nd
0.1367 0.1367 0.7267 Nd
0.0000 0.5000 0.0000 Nd
0.5000 0.0000 0.0000 Nd
0.0000 0.0000 0.0000 N